1.
# SrAgIr2 (PBE, optimized geometry)
data_SrAgIr2
_chemical_formula_sum 'Sr3 Ag3 Ir6'
_space_group_name_H-M_alt 'R -3 m'
_space_group_IT_number 166
_space_group_name_Hall '-R 3 2"'
_cell_length_a 2.9296
_cell_length_b 2.9296
_cell_length_c 29.3859
_cell_angle_alpha 90.00
_cell_angle_beta 90.00
_cell_angle_gamma 120.00
loop_
_atom_site_label
_atom_site_type_symbol
_atom_site_fract_x
_atom_site_fract_y
_atom_site_fract_z
_atom_site_occupancy
Sr1 Sr 0.0000 0.0000 0.0000 1
Ag1 Ag 0.0000 0.0000 0.5000 1
Ir1 Ir 0.0000 0.0000 0.2460 1
# Crystal system: trigonal
# DFT total energy, eV per cell: -58.94
# Offset from the most stable computed form, meV/atom: 462

***

2.
# Y12Ho7Cd (PBE, optimized geometry)
data_Y12Ho7Cd
_chemical_formula_sum 'Y36 Ho21 Cd3'
_space_group_name_H-M_alt 'R -3 m'
_space_group_IT_number 166
_space_group_name_Hall '-R 3 2"'
_cell_length_a 13.4069
_cell_length_b 13.4069
_cell_length_c 12.1352
_cell_angle_alpha 90.00
_cell_angle_beta 90.00
_cell_angle_gamma 120.00
loop_
_atom_site_label
_atom_site_type_symbol
_atom_site_fract_x
_atom_site_fract_y
_atom_site_fract_z
_atom_site_occupancy
Y1 Y 0.0000 0.2607 0.0000 1
Y2 Y 0.0875 0.1749 0.7584 1
Ho1 Ho 0.0000 0.0000 0.0000 1
Ho2 Ho 0.0530 0.5265 0.1212 1
Cd1 Cd 0.0000 0.0000 0.5000 1
# Crystal system: trigonal
# DFT total energy, eV per cell: -328.25

***

3.
# SiPRu (PBE, optimized geometry)
data_SiPRu
_chemical_formula_sum 'Si2 P2 Ru2'
_space_group_name_H-M_alt 'C 1 m 1'
_space_group_IT_number 8
_space_group_name_Hall 'C -2y'
_cell_length_a 8.4073
_cell_length_b 2.8452
_cell_length_c 4.1059
_cell_angle_alpha 90.00
_cell_angle_beta 95.02
_cell_angle_gamma 90.00
loop_
_atom_site_label
_atom_site_type_symbol
_atom_site_fract_x
_atom_site_fract_y
_atom_site_fract_z
_atom_site_occupancy
Si1 Si 0.0000 0.0000 0.0000 1
P1 P 0.3165 0.5000 0.5814 1
Ru1 Ru 0.0371 0.5000 0.4758 1
# Crystal system: monoclinic
# Formation energy (no corrections), eV per atom: -0.1778
# DFT total energy, eV per cell: -41.28

***

4.
# BiPd2Pb2 (PBE, optimized geometry)
data_BiPd2Pb2
_chemical_formula_sum 'Bi2 Pd4 Pb4'
_space_group_name_H-M_alt 'I 4/m m m'
_space_group_IT_number 139
_space_group_name_Hall '-I 4 2'
_cell_length_a 4.4581
_cell_length_b 4.4581
_cell_length_c 12.5076
_cell_angle_alpha 90.00
_cell_angle_beta 90.00
_cell_angle_gamma 90.00
loop_
_atom_site_label
_atom_site_type_symbol
_atom_site_fract_x
_atom_site_fract_y
_atom_site_fract_z
_atom_site_occupancy
Bi1 Bi 0.0000 0.0000 0.0000 1
Pd1 Pd 0.0000 0.0000 0.3942 1
Pb1 Pb 0.0000 0.5000 0.2500 1
# Crystal system: tetragonal
# DFT total energy, eV per cell: -43.14
# Offset from the most stable computed form, meV/atom: 233

***

5.
# Sr3GaBi3 (PBE, optimized geometry)
data_Sr3GaBi3
_chemical_formula_sum 'Sr24 Ga8 Bi24'
_space_group_name_H-M_alt 'C m c e'
_space_group_IT_number 64
_space_group_name_Hall '-C 2ac 2'
_cell_length_a 21.1033
_cell_length_b 7.0651
_cell_length_c 13.8784
_cell_angle_alpha 90.00
_cell_angle_beta 90.00
_cell_angle_gamma 90.00
loop_
_atom_site_label
_atom_site_type_symbol
_atom_site_fract_x
_atom_site_fract_y
_atom_site_fract_z
_atom_site_occupancy
Sr1 Sr 0.0000 0.1991 0.1387 1
Sr2 Sr 0.1751 0.2059 0.8752 1
Ga1 Ga 0.0881 0.0000 0.5000 1
Bi1 Bi 0.0000 0.2107 0.3863 1
Bi2 Bi 0.1620 0.2201 0.6275 1
# Crystal system: orthorhombic
# DFT total energy, eV per cell: -198.10

***

6.
# K2TlOs (PBE, optimized geometry)
data_K2TlOs
_chemical_formula_sum 'K2 Tl1 Os1'
_space_group_name_H-M_alt 'P 4/m m m'
_space_group_IT_number 123
_space_group_name_Hall '-P 4 2'
_cell_length_a 2.9980
_cell_length_b 2.9980
_cell_length_c 11.7021
_cell_angle_alpha 90.00
_cell_angle_beta 90.00
_cell_angle_gamma 90.00
loop_
_atom_site_label
_atom_site_type_symbol
_atom_site_fract_x
_atom_site_fract_y
_atom_site_fract_z
_atom_site_occupancy
K1 K 0.0000 0.0000 0.2213 1
Tl1 Tl 0.5000 0.5000 0.5000 1
Os1 Os 0.5000 0.5000 0.0000 1
# Crystal system: tetragonal
# DFT total energy, eV per cell: -11.81
# Offset from the most stable computed form, meV/atom: 293

***

7.
# MgCd2Pd3 (PBE, optimized geometry)
data_MgCd2Pd3
_chemical_formula_sum 'Mg2 Cd4 Pd6'
_space_group_name_H-M_alt 'P -3 m 1'
_space_group_IT_number 164
_space_group_name_Hall '-P 3 2"'
_cell_length_a 4.5815
_cell_length_b 4.5815
_cell_length_c 11.3032
_cell_angle_alpha 90.00
_cell_angle_beta 90.00
_cell_angle_gamma 120.00
loop_
_atom_site_label
_atom_site_type_symbol
_atom_site_fract_x
_atom_site_fract_y
_atom_site_fract_z
_atom_site_occupancy
Mg1 Mg 0.3333 0.6667 0.1652 1
Cd1 Cd 0.0000 0.0000 0.0000 1
Cd2 Cd 0.0000 0.0000 0.5000 1
Cd3 Cd 0.3333 0.6667 0.6679 1
Pd1 Pd 0.0000 0.0000 0.2462 1
Pd2 Pd 0.3333 0.6667 0.4123 1
Pd3 Pd 0.3333 0.6667 0.9171 1
# Crystal system: trigonal
# DFT total energy, eV per cell: -44.13
# Offset from the most stable computed form, meV/atom: 7

***

8.
# Ce2ZnSb3Rh4 (PBE, optimized geometry)
data_Ce2ZnSb3Rh4
_chemical_formula_sum 'Ce2 Zn1 Sb3 Rh4'
_space_group_name_H-M_alt 'P -4 m 2'
_space_group_IT_number 115
_space_group_name_Hall 'P -4 -2'
_cell_length_a 4.3285
_cell_length_b 4.3285
_cell_length_c 10.9878
_cell_angle_alpha 90.00
_cell_angle_beta 90.00
_cell_angle_gamma 90.00
loop_
_atom_site_label
_atom_site_type_symbol
_atom_site_fract_x
_atom_site_fract_y
_atom_site_fract_z
_atom_site_occupancy
Ce1 Ce 0.0000 0.5000 0.2397 1
Zn1 Zn 0.5000 0.5000 0.0000 1
Sb1 Sb 0.0000 0.0000 0.0000 1
Sb2 Sb 0.0000 0.5000 0.6357 1
Rh1 Rh 0.0000 0.0000 0.5000 1
Rh2 Rh 0.0000 0.5000 0.8677 1
Rh3 Rh 0.5000 0.5000 0.5000 1
# Crystal system: tetragonal
# Formation energy (no corrections), eV per atom: -0.7536
# DFT total energy, eV per cell: -62.45

***

9.
# CdSn2C2 (PBE, optimized geometry)
data_CdSn2C2
_chemical_formula_sum 'Cd2 Sn4 C4'
_space_group_name_H-M_alt 'P 4/m b m'
_space_group_IT_number 127
_space_group_name_Hall '-P 4 2ab'
_cell_length_a 7.9626
_cell_length_b 7.9626
_cell_length_c 3.2958
_cell_angle_alpha 90.00
_cell_angle_beta 90.00
_cell_angle_gamma 90.00
loop_
_atom_site_label
_atom_site_type_symbol
_atom_site_fract_x
_atom_site_fract_y
_atom_site_fract_z
_atom_site_occupancy
Cd1 Cd 0.0000 0.0000 0.0000 1
Sn1 Sn 0.1861 0.3139 0.0000 1
C1 C 0.0578 0.5578 0.5000 1
# Crystal system: tetragonal
# DFT total energy, eV per cell: -44.54
# Offset from the most stable computed form, meV/atom: 0

***

10.
# SrURu2 (PBE, optimized geometry)
data_SrURu2
_chemical_formula_sum 'Sr1 U1 Ru2'
_space_group_name_H-M_alt 'P 4/m m m'
_space_group_IT_number 123
_space_group_name_Hall '-P 4 2'
_cell_length_a 3.3664
_cell_length_b 3.3664
_cell_length_c 7.6149
_cell_angle_alpha 90.00
_cell_angle_beta 90.00
_cell_angle_gamma 90.00
loop_
_atom_site_label
_atom_site_type_symbol
_atom_site_fract_x
_atom_site_fract_y
_atom_site_fract_z
_atom_site_occupancy
Sr1 Sr 0.0000 0.0000 0.0000 1
U1 U 0.0000 0.0000 0.5000 1
Ru1 Ru 0.5000 0.5000 0.3156 1
# Crystal system: tetragonal
# DFT total energy, eV per cell: -31.91

***

11.
# Sr2CoB (PBE, optimized geometry)
data_Sr2CoB
_chemical_formula_sum 'Sr8 Co4 B4'
_space_group_name_H-M_alt 'I -4 2 d'
_space_group_IT_number 122
_space_group_name_Hall 'I -4 2bw'
_cell_length_a 7.8951
_cell_length_b 7.8951
_cell_length_c 6.7458
_cell_angle_alpha 90.00
_cell_angle_beta 90.00
_cell_angle_gamma 90.00
loop_
_atom_site_label
_atom_site_type_symbol
_atom_site_fract_x
_atom_site_fract_y
_atom_site_fract_z
_atom_site_occupancy
Sr1 Sr 0.2222 0.2500 0.1250 1
Co1 Co 0.0000 0.0000 0.5000 1
B1 B 0.0000 0.0000 0.0000 1
# Crystal system: tetragonal
# DFT total energy, eV per cell: -50.69

***

12.
# KMn2Zn (PBE, optimized geometry)
data_KMn2Zn
_chemical_formula_sum 'K1 Mn2 Zn1'
_space_group_name_H-M_alt 'P 4 m m'
_space_group_IT_number 99
_space_group_name_Hall 'P 4 -2'
_cell_length_a 3.1292
_cell_length_b 3.1292
_cell_length_c 8.2183
_cell_angle_alpha 90.00
_cell_angle_beta 90.00
_cell_angle_gamma 90.00
loop_
_atom_site_label
_atom_site_type_symbol
_atom_site_fract_x
_atom_site_fract_y
_atom_site_fract_z
_atom_site_occupancy
K1 K 0.0000 0.0000 0.0000 1
Mn1 Mn 0.0000 0.0000 0.4959 1
Mn2 Mn 0.5000 0.5000 0.3516 1
Zn1 Zn 0.5000 0.5000 0.6742 1
# Crystal system: tetragonal
# DFT total energy, eV per cell: -18.86

***

13.
# Dy2Er2Ga4Au (PBE, optimized geometry)
data_Dy2Er2Ga4Au
_chemical_formula_sum 'Dy4 Er4 Ga8 Au2'
_space_group_name_H-M_alt 'I 4/m m m'
_space_group_IT_number 139
_space_group_name_Hall '-I 4 2'
_cell_length_a 7.0051
_cell_length_b 7.0051
_cell_length_c 8.8179
_cell_angle_alpha 90.00
_cell_angle_beta 90.00
_cell_angle_gamma 90.00
loop_
_atom_site_label
_atom_site_type_symbol
_atom_site_fract_x
_atom_site_fract_y
_atom_site_fract_z
_atom_site_occupancy
Dy1 Dy 0.0000 0.5000 0.2500 1
Er1 Er 0.0000 0.0000 0.1864 1
Ga1 Ga 0.2450 0.2450 0.0000 1
Au1 Au 0.0000 0.0000 0.5000 1
# Crystal system: tetragonal
# DFT total energy, eV per cell: -73.62

***

14.
# DyTh2Ir2 (PBE, optimized geometry)
data_DyTh2Ir2
_chemical_formula_sum 'Dy2 Th4 Ir4'
_space_group_name_H-M_alt 'P 4/m b m'
_space_group_IT_number 127
_space_group_name_Hall '-P 4 2ab'
_cell_length_a 7.8545
_cell_length_b 7.8545
_cell_length_c 3.9433
_cell_angle_alpha 90.00
_cell_angle_beta 90.00
_cell_angle_gamma 90.00
loop_
_atom_site_label
_atom_site_type_symbol
_atom_site_fract_x
_atom_site_fract_y
_atom_site_fract_z
_atom_site_occupancy
Dy1 Dy 0.0000 0.0000 0.0000 1
Th1 Th 0.1651 0.3349 0.5000 1
Ir1 Ir 0.1379 0.6379 0.0000 1
# Crystal system: tetragonal
# DFT total energy, eV per cell: -82.49

***

15.
# SnGeAsHIr (PBE, optimized geometry)
data_SnGeAsHIr
_chemical_formula_sum 'Sn1 Ge1 As1 H1 Ir1'
_space_group_name_H-M_alt 'P 1'
_space_group_IT_number 1
_space_group_name_Hall 'P 1'
_cell_length_a 3.3747
_cell_length_b 5.0055
_cell_length_c 6.1339
_cell_angle_alpha 67.13
_cell_angle_beta 74.14
_cell_angle_gamma 89.86
loop_
_atom_site_label
_atom_site_type_symbol
_atom_site_fract_x
_atom_site_fract_y
_atom_site_fract_z
_atom_site_occupancy
Sn1 Sn 0.0000 0.0000 0.0000 1
Ge1 Ge 0.5687 0.6042 0.8616 1
As1 As 0.2454 0.4287 0.5127 1
H1 H 0.7831 0.0345 0.4399 1
Ir1 Ir 0.8852 0.3678 0.2324 1
# Crystal system: triclinic
# DFT total energy, eV per cell: -25.11
# Offset from the most stable computed form, meV/atom: 158

***

16.
# LaAgSe2O8 (PBE, optimized geometry)
data_LaAgSe2O8
_chemical_formula_sum 'La1 Ag1 Se2 O8'
_space_group_name_H-M_alt 'P -3 m 1'
_space_group_IT_number 164
_space_group_name_Hall '-P 3 2"'
_cell_length_a 5.8506
_cell_length_b 5.8506
_cell_length_c 7.0927
_cell_angle_alpha 90.00
_cell_angle_beta 90.00
_cell_angle_gamma 120.00
loop_
_atom_site_label
_atom_site_type_symbol
_atom_site_fract_x
_atom_site_fract_y
_atom_site_fract_z
_atom_site_occupancy
La1 La 0.0000 0.0000 0.0000 1
Ag1 Ag 0.0000 0.0000 0.5000 1
Se1 Se 0.3333 0.6667 0.3075 1
O1 O 0.1785 0.3570 0.2191 1
O2 O 0.3333 0.6667 0.5374 1
# Crystal system: trigonal
# Formation energy (no corrections), eV per atom: -1.2081
# DFT total energy, eV per cell: -68.91

***

17.
# U2Tl3PtS6 (PBE, optimized geometry)
data_U2Tl3PtS6
_chemical_formula_sum 'U4 Tl6 Pt2 S12'
_space_group_name_H-M_alt 'C 1 2/m 1'
_space_group_IT_number 12
_space_group_name_Hall '-C 2y'
_cell_length_a 6.5400
_cell_length_b 12.5092
_cell_length_c 7.7195
_cell_angle_alpha 90.00
_cell_angle_beta 104.00
_cell_angle_gamma 90.00
loop_
_atom_site_label
_atom_site_type_symbol
_atom_site_fract_x
_atom_site_fract_y
_atom_site_fract_z
_atom_site_occupancy
U1 U 0.0000 0.1638 0.0000 1
Tl1 Tl 0.0000 0.0000 0.5000 1
Tl2 Tl 0.0000 0.3542 0.5000 1
Pt1 Pt 0.0000 0.5000 0.0000 1
S1 S 0.2389 0.2001 0.7780 1
S2 S 0.2415 0.0000 0.1628 1
# Crystal system: monoclinic
# Formation energy (no corrections), eV per atom: -0.7737
# DFT total energy, eV per cell: -139.53

***

18.
# NaLi3Ni (PBE, optimized geometry)
data_NaLi3Ni
_chemical_formula_sum 'Na1 Li3 Ni1'
_space_group_name_H-M_alt 'P m -3 m'
_space_group_IT_number 221
_space_group_name_Hall '-P 4 2 3'
_cell_length_a 4.7213
_cell_length_b 4.7213
_cell_length_c 4.7213
_cell_angle_alpha 90.00
_cell_angle_beta 90.00
_cell_angle_gamma 90.00
loop_
_atom_site_label
_atom_site_type_symbol
_atom_site_fract_x
_atom_site_fract_y
_atom_site_fract_z
_atom_site_occupancy
Na1 Na 0.0000 0.0000 0.0000 1
Li1 Li 0.0000 0.5000 0.5000 1
Ni1 Ni 0.5000 0.5000 0.5000 1
# Crystal system: cubic
# DFT total energy, eV per cell: -11.75
# Offset from the most stable computed form, meV/atom: 0

***

19.
# NaMgAu (PBE, optimized geometry)
data_NaMgAu
_chemical_formula_sum 'Na4 Mg4 Au4'
_space_group_name_H-M_alt 'C m c m'
_space_group_IT_number 63
_space_group_name_Hall '-C 2c 2'
_cell_length_a 4.1999
_cell_length_b 11.0056
_cell_length_c 6.1834
_cell_angle_alpha 90.00
_cell_angle_beta 90.00
_cell_angle_gamma 90.00
loop_
_atom_site_label
_atom_site_type_symbol
_atom_site_fract_x
_atom_site_fract_y
_atom_site_fract_z
_atom_site_occupancy
Na1 Na 0.0000 0.2120 0.2500 1
Mg1 Mg 0.0000 0.5000 0.0000 1
Au1 Au 0.0000 0.0777 0.7500 1
# Crystal system: orthorhombic
# DFT total energy, eV per cell: -28.85
# Offset from the most stable computed form, meV/atom: 22

***

20.
# KNaNp2O8 (PBE, optimized geometry)
data_KNaNp2O8
_chemical_formula_sum 'K1 Na1 Np2 O8'
_space_group_name_H-M_alt 'P -3'
_space_group_IT_number 147
_space_group_name_Hall '-P 3'
_cell_length_a 5.9632
_cell_length_b 5.9632
_cell_length_c 6.6210
_cell_angle_alpha 90.00
_cell_angle_beta 90.00
_cell_angle_gamma 120.00
loop_
_atom_site_label
_atom_site_type_symbol
_atom_site_fract_x
_atom_site_fract_y
_atom_site_fract_z
_atom_site_occupancy
K1 K 0.0000 0.0000 0.0000 1
Na1 Na 0.0000 0.0000 0.5000 1
Np1 Np 0.3333 0.6667 0.4409 1
O1 O 0.0605 0.3863 0.6299 1
O2 O 0.3333 0.6667 0.1609 1
# Crystal system: trigonal
# Formation energy (no corrections), eV per atom: -2.2275
# DFT total energy, eV per cell: -94.69

***

Number 1: spin magnetization 0.84 μB/cell. Number 2: spin magnetization 0.02 μB/cell. Number 3: spin magnetization 0.00 μB/cell. Number 4: spin magnetization 0.00 μB/cell. Number 5: spin magnetization 0.00 μB/cell. Number 6: spin magnetization 0.58 μB/cell. Number 7: spin magnetization 0.00 μB/cell. Number 8: spin magnetization 1.50 μB/cell. Number 9: spin magnetization 0.00 μB/cell. Number 10: spin magnetization 0.00 μB/cell. Number 11: spin magnetization 8.84 μB/cell. Number 12: spin magnetization 0.58 μB/cell. Number 13: spin magnetization 0.00 μB/cell. Number 14: spin magnetization 0.00 μB/cell. Number 15: spin magnetization 0.00 μB/cell. Number 16: spin magnetization 0.00 μB/cell. Number 17: spin magnetization 5.99 μB/cell. Number 18: spin magnetization 0.00 μB/cell. Number 19: spin magnetization 0.00 μB/cell. Number 20: spin magnetization 0.00 μB/cell.